## NiAu2CO (PBE+U)

Data for an optimized crystal structure of NiAu2CO.

Computed properties:
uncorrected energy	-3.29	eV/atom
total magnetic moment	1.0	μB per formula unit
DOS(E_F)	1.344	states/eV/cell

a b c (Å): 5.423 2.774 5.423
angles (deg): 90.00 90.00 90.00
Last column: magnetic moment on the atom in μB.
Element x y z (fractional)
Ni (0.500, 0.500, 0.500)  0.99
C (0.000, 0.500, 0.000)  0.00
Au (0.000, 0.000, 0.500)  0.00
Au (0.500, 0.000, 0.000)  -0.02
O (0.000, 0.000, 0.000)  0.00